(one)
An optimized crystal structure of DyZrS3. Source: Alexandria, functional PBE-GGA.

Lattice parameters (Å, degrees): 3.735 7.019 15.296 90.00 90.00 90.00
Positions (direct):
Zr 0.750 0.236 0.456
S 0.250 0.171 0.786
S 0.750 0.000 0.598
Dy 0.250 0.122 0.193
Dy 0.750 0.878 0.807
S 0.250 0.500 0.098
Dy 0.750 0.378 0.693
S 0.750 0.829 0.214
S 0.750 0.329 0.286
S 0.750 0.617 0.438
Dy 0.250 0.622 0.307
S 0.250 0.883 0.938
S 0.250 0.383 0.562
S 0.750 0.500 0.902
Zr 0.250 0.764 0.544
S 0.750 0.117 0.062
S 0.250 0.671 0.714
S 0.250 0.000 0.402
Zr 0.250 0.264 0.956
Zr 0.750 0.736 0.044

Output
As for the density of states at the Fermi level: 0.44 states/eV per atom. The calculated volume comes out at 401 Å³ per cell. The symmetry is Pnma, No. 62. Its crystal system is orthorhombic.

---

(two)
An optimized crystal structure of DyZrS3. Source: Alexandria, functional PBE-GGA.

Lattice parameters (Å, degrees): 6.620 6.603 7.224 62.28 64.20 60.51
Positions (direct):
S 0.949 0.227 0.255
S 0.229 0.580 0.237
S 0.553 0.938 0.272
Dy 0.651 0.657 0.044
Dy 0.349 0.343 0.956
Zr 0.857 0.810 0.480
Zr 0.143 0.190 0.520
S 0.447 0.062 0.728
S 0.771 0.420 0.763
S 0.051 0.773 0.745

Output
As for the density of states at the Fermi level: 0.42 states/eV per atom. The calculated volume comes out at 234 Å³ per cell. The symmetry is P-1, No. 2. Its crystal system is triclinic.

---

It comes down to (one), which is 66 meV/atom more stable than the next structure.

---

(one)
An optimized crystal structure of Dy3Sb. Source: Alexandria, functional PBE-GGA.

Lattice parameters (Å, degrees): 4.001 6.482 9.454 100.16 90.00 90.00
Positions (direct):
Dy 0.750 0.771 0.587
Dy 0.750 0.412 0.142
Dy 0.750 0.906 0.131
Sb 0.750 0.287 0.662
Sb 0.250 0.713 0.338
Dy 0.250 0.094 0.869
Dy 0.250 0.229 0.413
Dy 0.250 0.588 0.858

Output
As for the density of states at the Fermi level: 1.08 states/eV per atom. The calculated volume comes out at 241 Å³ per cell. The symmetry is P2_1/m, No. 11. Its crystal system is monoclinic.

---

(two)
An optimized crystal structure of Dy3Sb. Source: Alexandria, functional PBE-GGA.

Lattice parameters (Å, degrees): 4.775 4.776 4.777 90.00 90.00 90.00
Positions (direct):
Dy 0.500 0.500 0.917
Dy 0.000 0.000 0.917
Sb 0.000 0.500 0.417
Dy 0.500 0.000 0.417

Output
As for the density of states at the Fermi level: 1.18 states/eV per atom. The calculated volume comes out at 109 Å³ per cell. The symmetry is Pm-3m, No. 221. Its crystal system is cubic.

---

It comes down to (one), which is 16 meV/atom more stable than the next structure.

---

(one)
An optimized crystal structure of Dy4Sb3. Source: Alexandria, functional PBE-GGA.

Lattice parameters (Å, degrees): 6.101 6.101 6.101 90.00 90.00 90.00
Positions (direct):
Dy 0.000 0.500 0.500
Sb 0.500 0.000 0.000
Dy 0.000 0.000 0.000
Sb 0.000 0.500 0.000
Sb 0.000 0.000 0.500
Dy 0.500 0.500 0.000
Dy 0.500 0.000 0.500

Output
As for the density of states at the Fermi level: 0.73 states/eV per atom. The calculated volume comes out at 227 Å³ per cell. The symmetry is Pm-3m, No. 221. Its crystal system is cubic.

---

(two)
An optimized crystal structure of Dy4Sb3. Source: Alexandria, functional PBE-GGA.

Lattice parameters (Å, degrees): 7.959 7.959 7.959 109.47 109.47 109.47
Positions (direct):
Sb 0.625 0.750 0.375
Sb 0.125 0.875 0.250
Sb 0.375 0.625 0.750
Dy 0.355 0.355 0.355
Sb 0.750 0.375 0.625
Dy 0.000 0.145 0.500
Sb 0.250 0.125 0.875
Dy 0.855 0.855 0.855
Dy 0.000 0.645 0.500
Sb 0.875 0.250 0.125
Dy 0.145 0.500 0.000
Dy 0.645 0.500 0.000
Dy 0.500 0.000 0.645
Dy 0.500 0.000 0.145

Output
As for the density of states at the Fermi level: 1.02 states/eV per atom. The calculated volume comes out at 388 Å³ per cell. The symmetry is I-43d, No. 220. Its crystal system is cubic.

---

It comes down to (two), which is 199 meV/atom more stable than the next structure.